Entry 1:
NiAsAu2 | GGA-PBE | relaxed

Formation enthalpy at 0 K (meV/atom): 207
N(E_F) (states/eV/cell): 7.92
Raw total energy (eV/atom): -4.0398

Structure (CIF):
```
data_NiAsAu2
_symmetry_space_group_name_H-M 'F -4 3 m'
_symmetry_Int_Tables_number 216
_symmetry_space_group_name_Hall 'F -4 2 3'
_cell_length_a 6.423
_cell_length_b 6.423
_cell_length_c 6.423
_cell_angle_alpha 90.00
_cell_angle_beta 90.00
_cell_angle_gamma 90.00
loop_
_atom_site_label
_atom_site_type_symbol
_atom_site_fract_x
_atom_site_fract_y
_atom_site_fract_z
Ni1 Ni 0.000 0.000 0.000
As1 As 0.250 0.250 0.250
Au1 Au 0.000 0.000 0.500
Au2 Au 0.250 0.250 0.750
```



Entry 2:
NiAsAu2 | GGA-PBE | relaxed

Formation enthalpy at 0 K (meV/atom): 38
N(E_F) (states/eV/cell): 4.49
Raw total energy (eV/atom): -4.2088

Structure (CIF):
```
data_NiAsAu2
_symmetry_space_group_name_H-M 'C 1 2/m 1'
_symmetry_Int_Tables_number 12
_cell_length_a 12.643
_cell_length_b 2.912
_cell_length_c 3.836
_cell_angle_alpha 90.00
_cell_angle_beta 102.67
_cell_angle_gamma 90.00
loop_
_symmetry_equiv_pos_as_xyz
'x,y,z'
'-x,-y,-z'
'-x,y,-z'
'x,-y,z'
'x+1/2,y+1/2,z'
'-x+1/2,-y+1/2,-z'
'-x+1/2,y+1/2,-z'
'x+1/2,-y+1/2,z'
loop_
_atom_site_label
_atom_site_type_symbol
_atom_site_fract_x
_atom_site_fract_y
_atom_site_fract_z
Ni1 Ni 0.000 0.000 0.000
As1 As 0.000 0.500 0.500
Au1 Au 0.184 0.500 0.204
```